# Mg4SnHg5 | Alexandria via LeMat-Bulk | PBE | relaxed
# - E: -0.050 hartree per atom
# - Energy of formation from the pure elements: -0.159 eV per atom
data_Mg4SnHg5
_space_group_name_H-M_alt 'P 4/m m m'
_space_group_IT_number 123
_space_group_name_Hall '-P 4 2'
_cell_length_a 3.5033
_cell_length_b 3.5033
_cell_length_c 18.2360
_cell_angle_alpha 90.00
_cell_angle_beta 90.00
_cell_angle_gamma 90.00
loop_
_atom_site_label
_atom_site_fract_x
_atom_site_fract_y
_atom_site_fract_z
Mg1 0.0000 0.0000 0.0944
Mg2 0.0000 0.0000 0.2862
Sn1 0.0000 0.0000 0.5000
Hg1 0.5000 0.5000 0.0000
Hg2 0.5000 0.5000 0.1893
Hg3 0.5000 0.5000 0.3809